This record from the Alexandria database describes crystalline TlRe2WO at its relaxed geometry. The functional is GGA+U.

Properties
Total magnetization   0.001 μB per atom
Fermi-level density of states   1.39 states/eV/atom
E_tot   -32.90 eV per cell

Cell and atoms, written as CIF:
```
data_TlRe2WO
_space_group_name_H-M_alt 'P 4/m m m'
_space_group_IT_number 123
_space_group_name_Hall '-P 4 2'
_cell_length_a 5.0244
_cell_length_b 5.0244
_cell_length_c 3.7843
_cell_angle_alpha 90.00
_cell_angle_beta 90.00
_cell_angle_gamma 90.00
loop_
_atom_site_label
_atom_site_type_symbol
_atom_site_fract_x
_atom_site_fract_y
_atom_site_fract_z
Tl1 Tl 0.0000 0.0000 0.0000
Re1 Re 0.0000 0.5000 0.5000
W1 W 0.5000 0.5000 0.5000
O1 O 0.5000 0.5000 0.0000
```